# MnFeNiO4

A PBEsol-optimized structure of MnFeNiO4 (meta-GGA SCAN, Alexandria via LeMat-Bulk).

Energy relative to the elements, uncorrected ... -1744 meV/atom
DOS(E_F) ... 9.83 states/eV per cell
Electronic total energy ... -12.813 eV/atom
V ... 9.68 Å³/atom
Density ... 5.722 g/cm³
Total magnetization ... 20.00 Bohr magnetons per cell

```
data_MnFeNiO4
_chemical_formula_sum 'Mn4 Fe4 Ni4 O16'
_space_group_name_H-M_alt 'I m m a'
_space_group_IT_number 74
_space_group_name_Hall '-I 2b 2'
_cell_length_a 5.7153
_cell_length_b 5.7607
_cell_length_c 8.2309
_cell_angle_alpha 90.00
_cell_angle_beta 90.00
_cell_angle_gamma 90.00
loop_
_atom_site_label
_atom_site_type_symbol
_atom_site_fract_x
_atom_site_fract_y
_atom_site_fract_z
Mn1 Mn 0.2500 0.2500 0.2500
Fe1 Fe 0.0000 0.2500 0.6165
Ni1 Ni 0.0000 0.0000 0.0000
O1 O 0.0000 0.0212 0.2454
O2 O 0.2357 0.2500 0.0172
```